1.
The following is a GGA-PBE calculation of UW after structural relaxation, from OQMD.

Density   13.331 g cm⁻³
Space group   F-43m (216)
Excess energy over the best structure of this formula in the dataset   1352 meV/atom
Formation energy   2.034 eV/atom
Size of the total moment   0.0 μB/f.u.

```
UW
1.0
2.554 -1.665 2.895
1.908 2.488 2.801
-1.174 -0.091 4.036
U W
1 1
Cartesian
0.000 0.000 0.000
0.822 0.183 2.433
```

---

2.
The following is a GGA-PBE calculation of SrTmPt after structural relaxation, from OQMD.

Density   8.594 g cm⁻³
Space group   F-43m (216)
Excess energy over the best structure of this formula in the dataset   0 meV/atom
Size of the total moment   0.0 μB/f.u.

```
SrTmPt
1.0
0.000 3.520 3.520
3.520 0.000 3.520
3.520 3.520 0.000
Pt Tm Sr
1 1 1
Cartesian
0.000 0.000 0.000
5.281 5.281 5.281
1.760 1.760 1.760
```

---

3.
The following is a GGA-PBE calculation of AlTcOs2 after structural relaxation, from OQMD.

Density   14.613 g cm⁻³
Space group   F-43m (216)
Raw total energy   -36.33 eV/f.u.
Size of the total moment   0.1 μB/f.u.

```
AlTcOs2
1.0
0.000 3.062 3.062
3.062 0.000 3.062
3.062 3.062 0.000
Os Tc Al
2 1 1
Cartesian
4.593 4.593 4.593
0.000 0.000 0.000
1.531 1.531 1.531
3.062 3.062 3.062
```

---

4.
The following is a GGA-PBE calculation of Li2Hf2Sn2IrPd after structural relaxation, from OQMD.

Density   10.992 g cm⁻³
Space group   P-4m2 (115)
Raw total energy   -50.45 eV/f.u.
Size of the total moment   0.0 μB/f.u.

```
Li2Hf2Sn2IrPd
1.0
-4.360 -0.873 -1.157
1.033 -4.445 -0.538
-1.437 -1.089 6.234
Li Pd Sn Hf Ir
2 1 2 2 1
Cartesian
-0.718 -0.544 3.117
-1.663 -2.659 -0.848
-2.382 -3.203 2.270
-2.549 -0.716 1.022
-0.551 -3.032 4.365
0.168 -2.486 1.242
-3.268 -1.262 4.145
0.000 0.000 0.000
```

---

5.
The following is a GGA-PBE calculation of Cu2Ag3 after structural relaxation, from OQMD.

Density   9.609 g cm⁻³
Space group   Pm (6)
Excess energy over the best structure of this formula in the dataset   53 meV/atom
Formation energy   0.085 eV/atom

```
Cu2Ag3
1.0
6.903 0.000 0.000
0.000 2.845 0.000
-1.698 0.000 7.931
Ag Cu
6 4
Cartesian
2.820 0.000 6.337
0.412 1.423 7.203
0.169 1.423 2.179
2.573 0.000 1.670
0.378 0.000 4.702
4.808 0.000 3.293
5.059 0.000 7.811
4.756 1.423 0.762
2.608 1.423 4.021
5.043 1.423 5.640
```

---

6.
The following is a GGA-PBE calculation of Tm3LuZr2Te2Os after structural relaxation, from OQMD.

Density   10.016 g cm⁻³
Space group   Amm2 (38)
Raw total energy   -57.66 eV/f.u.
Size of the total moment   0.0 μB/f.u.

```
Tm3LuZr2Te2Os
1.0
3.808 0.000 0.000
0.000 7.241 3.937
0.000 -7.241 3.937
Tm Te Lu Zr Os
3 2 1 2 1
Cartesian
1.904 -5.423 4.846
1.904 5.423 4.846
1.904 0.000 5.968
1.904 -2.461 3.954
1.904 2.461 3.954
0.000 0.000 3.055
0.000 4.319 2.358
0.000 -4.319 2.358
0.000 0.000 0.156
```

---

What is the density in the fifth record? 9.609 g cm⁻³